1 | # ZnCo2O3 PBE+U optimized geometry
data_ZnCo2O3
_space_group_name_H-M_alt 'P 1'
_space_group_IT_number 1
_cell_length_a 4.313
_cell_length_b 6.116
_cell_length_c 5.273
_cell_angle_alpha 106.76
_cell_angle_beta 114.14
_cell_angle_gamma 90.00
loop_
_space_group_symop_operation_xyz
'x,y,z'
loop_
_atom_site_label
_atom_site_type_symbol
_atom_site_fract_x
_atom_site_fract_y
_atom_site_fract_z
_atom_site_occupancy
Zn1 Zn 0.999 0.750 0.000 1
Zn2 Zn 0.001 0.250 0.000 1
Co1 Co 0.668 0.583 0.334 1
Co2 Co 0.666 0.083 0.334 1
Co3 Co 0.334 0.917 0.666 1
Co4 Co 0.332 0.417 0.666 1
O1 O 0.501 0.250 0.000 1
O2 O 0.499 0.750 0.000 1
O3 O 0.168 0.084 0.336 1
O4 O 0.832 0.416 0.664 1
O5 O 0.168 0.584 0.336 1
O6 O 0.832 0.916 0.664 1
# SG: C2/c (15)



2 | # ZnCo2O3 PBE+U optimized geometry
data_ZnCo2O3
_space_group_name_H-M_alt 'P 1'
_space_group_IT_number 1
_cell_length_a 5.659
_cell_length_b 5.659
_cell_length_c 5.662
_cell_angle_alpha 99.60
_cell_angle_beta 99.60
_cell_angle_gamma 120.03
loop_
_space_group_symop_operation_xyz
'x,y,z'
loop_
_atom_site_label
_atom_site_type_symbol
_atom_site_fract_x
_atom_site_fract_y
_atom_site_fract_z
_atom_site_occupancy
Zn1 Zn 0.096 0.928 0.507 1
Zn2 Zn 0.928 0.096 0.007 1
Co1 Co 0.595 0.429 0.008 1
Co2 Co 0.763 0.262 0.508 1
Co3 Co 0.429 0.595 0.508 1
Co4 Co 0.262 0.763 0.008 1
O1 O 0.054 0.220 0.383 1
O2 O 0.220 0.054 0.883 1
O3 O 0.887 0.388 0.883 1
O4 O 0.388 0.887 0.383 1
O5 O 0.553 0.720 0.883 1
O6 O 0.720 0.553 0.383 1
# SG: Cc (9)



Of them, 2 has the highest stability.